Entry 1:
HfRuCl3, relaxed, DFT PBE; polymorph energy (0 for the lowest one) = 0.345 eV/atom; ρ = 6.10 g cm⁻³; formation energy without anion corrections = 0.47 eV per atom
1.0
4.719 0.000 0.000
0.000 4.719 0.000
0.000 0.000 4.719
Hf Ru Cl
1 1 3
Cartesian
0.000 0.000 0.000
2.360 2.360 2.360
0.000 2.360 2.360
2.360 0.000 2.360
2.360 2.360 0.000

---

Entry 2:
Nd6TmCd2, relaxed, DFT PBE; polymorph energy (0 for the lowest one) = 0.000 eV/atom; ρ = 7.31 g cm⁻³; E_form = -129 meV per atom
1.0
6.491 -1.912 0.000
6.491 1.912 0.000
-3.953 0.000 11.533
Nd Tm Cd
6 1 2
Cartesian
-1.054 0.000 3.869
2.409 0.000 4.733
3.619 0.000 1.413
5.411 0.000 10.119
6.620 0.000 6.800
10.083 0.000 7.663
0.000 0.000 0.000
1.481 0.000 9.283
7.549 0.000 2.250

---

Entry 3:
PuAl2Pt3, relaxed, DFT PBE; ρ = 13.38 g cm⁻³; E_form = -882 meV per atom
1.0
5.038 -3.975 0.000
5.038 3.975 0.000
0.000 0.000 5.473
Pu Al Pt
2 4 6
Cartesian
5.038 2.685 4.105
5.038 -2.685 1.368
2.871 0.000 0.000
2.871 0.000 2.737
7.205 0.000 0.000
7.205 0.000 2.737
3.458 2.386 1.368
6.618 2.386 1.368
5.038 0.160 1.368
5.038 -0.160 4.105
3.458 -2.386 4.105
6.618 -2.386 4.105

---

Entry 4:
CsH3Br, relaxed, DFT PBE; polymorph energy (0 for the lowest one) = 0.726 eV/atom; ρ = 4.16 g cm⁻³
1.0
4.416 0.000 0.000
0.000 4.416 0.000
0.000 0.000 4.416
Cs H Br
1 3 1
Cartesian
0.000 0.000 0.000
0.000 2.208 2.208
2.208 0.000 2.208
2.208 2.208 0.000
2.208 2.208 2.208

---

Entry 5:
KZrW2, relaxed, DFT PBE; polymorph energy (0 for the lowest one) = 0.295 eV/atom; ρ = 8.18 g cm⁻³; E_form = 978 meV per atom
1.0
2.730 0.000 0.000
0.000 4.911 0.000
0.000 0.000 7.536
K Zr W
1 1 2
Cartesian
0.000 0.000 0.000
0.000 0.000 3.768
1.365 2.456 2.549
1.365 2.456 4.987

---

Entry 6:
Li2ReN2, relaxed, DFT PBE; polymorph energy (0 for the lowest one) = 0.000 eV/atom; ρ = 6.54 g cm⁻³; formation energy without anion corrections = -0.35 eV per atom
1.0
8.868 0.000 0.000
0.000 4.954 0.000
0.000 0.000 5.273
Li Re N
8 4 8
Cartesian
1.680 0.015 1.292
1.680 4.940 3.928
2.754 2.463 3.928
2.754 2.492 1.292
6.114 2.463 3.981
6.114 2.492 1.345
7.188 0.015 1.345
7.188 4.940 3.981
0.000 2.469 3.955
0.000 2.485 1.318
4.434 0.008 1.318
4.434 4.946 3.955
1.082 1.472 2.629
1.082 3.482 5.266
3.352 1.005 5.266
3.352 3.949 2.629
5.516 1.005 2.644
5.516 3.949 0.007
7.787 1.472 0.007
7.787 3.482 2.644

---

Entry 7:
PuMgUO6, relaxed, DFT PBE; ρ = 8.12 g cm⁻³; formation energy without anion corrections = -2.95 eV per atom
1.0
5.420 0.000 0.000
-2.710 4.694 0.000
0.000 0.000 9.680
Pu Mg U O
2 2 2 12
Cartesian
0.000 0.000 0.000
0.000 0.000 4.840
0.000 3.129 2.420
2.710 1.565 7.260
0.000 3.129 7.260
2.710 1.565 2.420
-0.903 1.605 6.141
-1.772 3.109 8.378
0.903 1.605 8.378
-0.869 4.674 6.141
1.841 0.020 1.302
0.938 1.584 3.538
1.772 3.109 6.141
0.869 4.674 8.378
3.579 0.020 3.538
1.807 3.089 1.302
4.482 1.584 1.302
3.613 3.089 3.538

---

Calculated total energy for every record listed, in sequence, given in eV/cell: -22.42 -36.07 -90.46 -10.32 -31.64 -138.80 -167.06.